La5TlAg2: optimized geometry, PBE.

- Energy of formation: -0.23 eV per atom

```
data_La5TlAg2
_chemical_formula_sum 'La20 Tl4 Ag8'
_cell_length_a 8.592
_cell_length_b 8.592
_cell_length_c 13.592
_cell_angle_alpha 90.00
_cell_angle_beta 90.00
_cell_angle_gamma 90.00
_symmetry_space_group_name_H-M 'I 4/m c m'
_symmetry_Int_Tables_number 140
_symmetry_space_group_name_Hall '-I 4 2c'
loop_
_atom_site_label
_atom_site_type_symbol
_atom_site_fract_x
_atom_site_fract_y
_atom_site_fract_z
La1 La 0.000 0.000 0.000
La2 La 0.158 0.342 0.149
Tl1 Tl 0.000 0.000 0.250
Ag1 Ag 0.131 0.369 0.500
```